(1)
Below is a relaxed structure of MnZn2Hg, with properties calculated at the GGA-PBEsol level.

Lattice parameters (Å, degrees): 5.345 5.345 5.345 147.88 128.94 61.60
Positions (direct):
Mn 0.000 0.000 0.000
Zn 0.234 0.734 0.500
Zn 0.766 0.266 0.500
Hg 0.500 0.500 0.000

Its formation energy is 0.9 eV/f.u. As for the crystal system: orthorhombic.

(2)
Below is a relaxed structure of Ta2SbIr, with properties calculated at the GGA-PBEsol level.

Lattice parameters (Å, degrees): 2.905 4.260 5.529 90.00 90.00 90.00
Positions (direct):
Ta 0.000 0.000 0.243
Ta 0.000 0.000 0.757
Sb 0.500 0.500 0.500
Ir 0.500 0.500 0.000

The value obtained for the raw total energy is -40.070 eV per cell. As for the crystal system: orthorhombic.

(3)
Below is a relaxed structure of InW2Br, with properties calculated at the GGA-PBEsol level.

Lattice parameters (Å, degrees): 4.891 4.891 4.891 127.77 127.77 77.00
Positions (direct):
In 0.000 0.000 0.000
W 0.500 0.500 0.000
W 0.750 0.250 0.500
Br 0.250 0.750 0.500

The value obtained for the energy above the most stable polymorph in this dataset is 0.608 eV/atom. As for the crystal system: tetragonal.

(4)
Below is a relaxed structure of KSn3Pt, with properties calculated at the GGA-PBEsol level.

Lattice parameters (Å, degrees): 5.295 5.295 5.295 90.00 90.00 90.00
Positions (direct):
K 0.000 0.000 0.000
Sn 0.000 0.500 0.500
Sn 0.500 0.000 0.500
Sn 0.500 0.500 0.000
Pt 0.500 0.500 0.500

Its formation energy is 0.2 eV/f.u. As for the crystal system: cubic.